a | {"formula": "Lu4InCoC2", "functional": "PBE", "state": "relaxed", "lattice_angstrom": [[-0.732, -1.764, 2.920], [3.030, 1.706, -0.295], [-6.212, 12.017, 5.704]], "species": ["Lu", "C", "Co", "C", "Lu", "Lu", "In", "Lu"], "frac_coords": [[0.667, 0.333, 0.135], [0.333, 0.667, 0.771], [0.000, 0.000, 0.000], [0.333, 0.667, 0.229], [0.000, 0.000, 0.314], [0.000, 0.000, 0.686], [0.667, 0.333, 0.500], [0.667, 0.333, 0.865]], "volume_a3_per_cell": 154.8}


b | {"formula": "Lu4InCoC2", "functional": "PBE", "state": "relaxed", "lattice_angstrom": [[3.480, 0.000, 0.000], [-1.740, 3.014, 0.000], [0.000, 0.000, 14.683]], "species": ["In", "Co", "Lu", "Lu", "C", "C", "Lu", "Lu"], "frac_coords": [[0.000, 0.000, 0.000], [0.667, 0.333, 0.500], [0.000, 0.000, 0.366], [0.667, 0.333, 0.188], [0.333, 0.667, 0.728], [0.333, 0.667, 0.272], [0.000, 0.000, 0.634], [0.667, 0.333, 0.812]], "volume_a3_per_cell": 154.0}


Which one sits at the top of the stability order? a does.


a | {"formula": "Lu2CoC", "functional": "PBE", "state": "relaxed", "lattice_angstrom": [[-0.406, 3.314, -0.832], [-2.105, -1.469, 2.292], [8.374, 3.522, 9.944]], "species": ["Co", "Lu", "C", "Lu", "Lu", "Co", "Lu", "C"], "frac_coords": [[0.333, 0.667, 0.750], [0.333, 0.667, 0.099], [0.000, 0.000, 0.500], [0.667, 0.333, 0.599], [0.333, 0.667, 0.401], [0.667, 0.333, 0.250], [0.667, 0.333, 0.901], [0.000, 0.000, 0.000]], "volume_a3_per_cell": 138.1}


b | {"formula": "Lu2CoC", "functional": "PBE", "state": "relaxed", "lattice_angstrom": [[-4.506, 3.741, -1.490], [-1.517, 0.694, -5.809], [-6.799, -11.661, 3.522]], "species": ["Co", "Co", "C", "Lu", "C", "C", "Co", "Lu", "Lu", "Lu", "Lu", "Co", "Lu", "Lu", "Lu", "Co", "Co", "C", "Lu", "Lu", "C", "C", "Lu", "Lu"], "frac_coords": [[0.183, 0.422, 0.750], [0.756, 0.244, 0.250], [0.170, 0.664, 0.496], [0.973, 0.797, 0.905], [0.336, 0.830, 0.004], [0.664, 0.170, 0.996], [0.422, 0.183, 0.250], [0.797, 0.973, 0.405], [0.528, 0.376, 0.603], [0.697, 0.865, 0.095], [0.376, 0.528, 0.103], [0.817, 0.578, 0.250], [0.135, 0.303, 0.405], [0.303, 0.135, 0.905], [0.865, 0.697, 0.595], [0.244, 0.756, 0.750], [0.578, 0.817, 0.750], [0.830, 0.336, 0.504], [0.472, 0.624, 0.397], [0.624, 0.472, 0.897], [0.000, 0.500, 0.000], [0.500, 0.000, 0.500], [0.027, 0.203, 0.095], [0.203, 0.027, 0.595]], "volume_a3_per_cell": 428.5}


Which one sits at the top of the stability order? b does.


a | {"formula": "Lu4CoNiC2", "functional": "PBE", "state": "relaxed", "lattice_angstrom": [[3.474, 0.000, 0.000], [-1.737, 3.009, 0.000], [0.000, 0.000, 13.340]], "species": ["Ni", "C", "Co", "Lu", "C", "Lu", "Lu", "Lu"], "frac_coords": [[0.000, 0.000, 0.500], [0.333, 0.667, 0.251], [0.667, 0.333, 0.000], [0.667, 0.333, 0.350], [0.333, 0.667, 0.749], [0.000, 0.000, 0.851], [0.667, 0.333, 0.650], [0.000, 0.000, 0.149]], "volume_a3_per_cell": 139.5}


b | {"formula": "Lu4CoNiC2", "functional": "PBE", "state": "relaxed", "lattice_angstrom": [[3.474, 0.000, 0.000], [-1.737, 3.008, 0.000], [0.000, 0.000, 13.271]], "species": ["C", "Lu", "C", "Lu", "Co", "Ni", "Lu", "Lu"], "frac_coords": [[0.333, 0.667, 0.251], [0.667, 0.333, 0.150], [0.333, 0.667, 0.749], [0.000, 0.000, 0.349], [0.000, 0.000, 0.000], [0.667, 0.333, 0.500], [0.667, 0.333, 0.850], [0.000, 0.000, 0.651]], "volume_a3_per_cell": 138.7}


Which one sits at the top of the stability order? a does.